1.
This record from the Alexandria database describes a relaxed K4Sc3InTe8 crystal. The functional is PBE.

Summary:
Total magnetic moment (μB/cell): 0.00
Formation energy (no corrections) (eV/atom): -1.082

a b c (Å): 8.6858 9.6234 8.6879
angles (deg): 116.85 119.99 90.00
Closest atoms and distances in Å follow each position.
Sites, in units of the cell vectors:
K: 0.5000 0.0000 0.0000  6 Te 3.49
K: 0.5000 0.0000 0.5000  6 Te 3.53-3.54
K: 0.0000 0.0000 0.0000  6 Te 3.53-3.54
K: 0.0000 0.0000 0.5000  6 Te 3.53-3.54
Sc: 0.5000 0.5000 0.0000  6 Te 2.97-2.99
Sc: 0.5000 0.5000 0.5000  6 Te 2.97-2.99
Sc: 0.0000 0.5000 0.5000  6 Te 2.97-2.99
In: 0.0000 0.5000 0.0000  6 Te 3.03
Te: 0.2362 0.6984 0.9623  2 Sc 2.97, 1 In 3.03
Te: 0.2362 0.6984 0.4724  2 Sc 2.97, 1 In 3.03
Te: 0.2673 0.3019 0.5346  3 Sc 2.99
Te: 0.7262 0.6984 0.9623  2 Sc 2.97, 1 In 3.03
Te: 0.2738 0.3016 0.0377  2 Sc 2.97, 1 In 3.03
Te: 0.7327 0.6981 0.4654  3 Sc 2.99
Te: 0.7638 0.3016 0.5276  2 Sc 2.97, 1 In 3.03
Te: 0.7638 0.3016 0.0377  2 Sc 2.97, 1 In 3.03

2.
This record from the Alexandria database describes a relaxed KSc2TlIn crystal. The functional is PBE.

Summary:
Total magnetic moment (μB/cell): 0.00
Energy relative to the elements (eV/atom): 0.49

a b c (Å): 5.5817 5.7819 5.5817
angles (deg): 90.00 90.00 90.00
Closest atoms and distances in Å follow each position.
Sites, in units of the cell vectors:
Sc: 0.0000 0.0000 0.5000  2 Tl 2.79
Sc: 0.5000 0.0000 0.0000  2 Tl 2.79
Tl: 0.0000 0.0000 0.0000  4 Sc 2.79, 2 In 2.89
K: 0.5000 0.5000 0.5000  4 In 3.95, 8 Sc 4.02
In: 0.0000 0.5000 0.0000  2 Tl 2.89

3.
This record from the Alexandria database describes a relaxed KY2ScIn crystal. The functional is PBE.

Summary:
Total magnetic moment (μB/cell): 0.00
Energy relative to the elements (eV/atom): 1.14

a b c (Å): 5.3117 5.6319 5.3117
angles (deg): 90.00 90.00 90.00
Closest atoms and distances in Å follow each position.
Sites, in units of the cell vectors:
Y: 0.0000 0.0000 0.5000  2 K 2.66
Y: 0.5000 0.0000 0.0000  2 K 2.66
Sc: 0.5000 0.5000 0.5000  4 In 3.76, 8 Y 3.87
K: 0.0000 0.0000 0.0000  4 Y 2.66, 2 In 2.82
In: 0.0000 0.5000 0.0000  2 K 2.82

4.
This record from the Alexandria database describes a relaxed K2InSe2 crystal. The functional is PBE.

Summary:
Total magnetic moment (μB/cell): 0.00
ΔE to the lowest computed polymorph (meV per atom): 0
Formation energy (no corrections) (eV/atom): -0.905

a b c (Å): 5.1330 7.7867 9.0267
angles (deg): 90.00 106.52 90.00
Closest atoms and distances in Å follow each position.
Sites, in units of the cell vectors:
K: 0.9704 0.7122 0.9407  6 Se 3.20-3.57, 2 In 3.55
K: 0.7968 0.4171 0.5936  5 Se 3.25-3.62
K: 0.2032 0.9171 0.4064  5 Se 3.25-3.62
K: 0.0296 0.2122 0.0593  6 Se 3.20-3.57, 2 In 3.55
In: 0.4040 0.0673 0.8081  4 Se 2.80-2.87
In: 0.5960 0.5673 0.1919  4 Se 2.80-2.87
Se: 0.4439 0.4248 0.8878  2 In 2.86-2.87
Se: 0.8442 0.0130 0.6883  2 In 2.80
Se: 0.1558 0.5130 0.3117  2 In 2.80
Se: 0.5561 0.9248 0.1122  2 In 2.86-2.87

5.
This record from the Alexandria database describes a relaxed KInSe2 crystal. The functional is PBE.

Summary:
Total magnetic moment (μB/cell): 0.00
Formation energy (no corrections) (eV/atom): -0.622

a b c (Å): 6.1776 6.1776 6.1776
angles (deg): 142.58 102.91 88.99
Closest atoms and distances in Å follow each position.
Sites, in units of the cell vectors:
In: 0.7500 0.2500 0.5000  4 Se 2.68
K: 0.2500 0.7500 0.5000  4 Se 3.27
Se: 0.9542 0.9542 0.0000  2 In 2.68
Se: 0.5458 0.5458 0.0000  2 In 2.68

6.
This record from the Alexandria database describes a relaxed K2InSe crystal. The functional is PBE.

Summary:
Total magnetic moment (μB/cell): 0.00
ΔE to the lowest computed polymorph (meV per atom): 30
Formation energy (no corrections) (eV/atom): -0.576

a b c (Å): 7.3341 7.3341 7.3341
angles (deg): 147.93 135.75 55.68
Closest atoms and distances in Å follow each position.
Sites, in units of the cell vectors:
In: 0.3221 0.8221 0.5000  2 Se 2.88
K: 0.0012 0.0012 0.0000  4 Se 3.44, 2 In 3.61, 2 K 3.75
K: 0.6969 0.1969 0.5000  2 Se 3.47, 2 K 3.75, 4 In 3.79
Se: 0.4799 0.4799 0.0000  2 In 2.88

7.
This record from the Alexandria database describes a relaxed K2InSe crystal. The functional is PBE.

Summary:
Total magnetic moment (μB/cell): 0.00
ΔE to the lowest computed polymorph (meV per atom): 0
Formation energy (no corrections) (eV/atom): -0.606

a b c (Å): 6.8837 6.8837 4.4434
angles (deg): 89.98 89.98 44.20
Closest atoms and distances in Å follow each position.
Sites, in units of the cell vectors:
In: 0.3107 0.3107 0.1251  2 Se 2.88
K: 0.0126 0.0126 0.1246  4 Se 3.49, 3 In 3.65-3.80
K: 0.7218 0.7218 0.6253  1 Se 3.40, 4 In 3.60
Se: 0.4549 0.4549 0.6250  2 In 2.88

8.
This record from the Alexandria database describes a relaxed K2InSe crystal. The functional is PBE.

Summary:
Total magnetic moment (μB/cell): 0.99
ΔE to the lowest computed polymorph (meV per atom): 161
Formation energy (no corrections) (eV/atom): -0.445

a b c (Å): 6.2044 6.2044 6.2044
angles (deg): 131.71 131.71 70.69
Closest atoms and distances in Å follow each position.
Sites, in units of the cell vectors:
In: 0.7500 0.2500 0.5000  8 K 3.58, 4 Se 3.59
K: 0.0000 0.0000 0.0000  4 In 3.58, 4 Se 3.58, 4 K 3.59
K: 0.5000 0.5000 0.0000  4 In 3.58, 4 Se 3.58, 4 K 3.59
Se: 0.2500 0.7500 0.5000  8 K 3.58, 4 In 3.59

9.
This record from the Alexandria database describes a relaxed K2InSe crystal. The functional is PBE.

Summary:
Total magnetic moment (μB/cell): 0.00
ΔE to the lowest computed polymorph (meV per atom): 204
Formation energy (no corrections) (eV/atom): -0.402

a b c (Å): 6.4407 6.4407 6.4407
angles (deg): 134.74 134.74 65.93
Closest atoms and distances in Å follow each position.
Sites, in units of the cell vectors:
In: 0.7500 0.2500 0.5000  8 K 3.50-3.67, 4 Se 3.67
K: 0.0000 0.0000 0.0000  4 Se 3.50, 4 K 3.67, 4 In 3.67
K: 0.2500 0.7500 0.5000  4 In 3.50, 4 Se 3.67, 4 K 3.67
Se: 0.5000 0.5000 0.0000  8 K 3.50-3.67, 4 In 3.67

10.
This record from the Alexandria database describes a relaxed K8InSe6 crystal. The functional is PBE.

Summary:
Total magnetic moment (μB/cell): 2.49
Formation energy (no corrections) (eV/atom): -0.913

a b c (Å): 9.3598 8.9446 13.8846
angles (deg): 90.00 90.00 90.00
Closest atoms and distances in Å follow each position.
Sites, in units of the cell vectors:
K: 0.3628 0.0000 0.9589  4 Se 3.30-3.58
K: 0.6372 0.5000 0.4589  4 Se 3.30-3.58
K: 0.9428 0.7961 0.1553  4 Se 3.21-3.43, 2 K 3.53-3.56
K: 0.0572 0.7039 0.6553  4 Se 3.21-3.43, 2 K 3.53-3.56
K: 0.0572 0.2961 0.6553  4 Se 3.21-3.43, 2 K 3.53-3.56
K: 0.9428 0.2039 0.1553  4 Se 3.21-3.43, 2 K 3.53-3.56
K: 0.4292 0.7256 0.6942  4 Se 3.18-3.39, 1 K 3.53
K: 0.5708 0.7744 0.1942  4 Se 3.18-3.39, 1 K 3.53
K: 0.5708 0.2256 0.1942  4 Se 3.18-3.39, 1 K 3.53
K: 0.4292 0.2744 0.6942  4 Se 3.18-3.39, 1 K 3.53
K: 0.8145 0.7988 0.8434  3 Se 3.23-3.37, 2 K 3.56-3.60
K: 0.1855 0.7012 0.3434  3 Se 3.23-3.37, 2 K 3.56-3.60
K: 0.1855 0.2988 0.3434  3 Se 3.23-3.37, 2 K 3.56-3.60
K: 0.8145 0.2012 0.8434  3 Se 3.23-3.37, 2 K 3.56-3.60
K: 0.2612 0.0000 0.5195  3 Se 3.12-3.38
K: 0.7388 0.5000 0.0195  3 Se 3.12-3.38
In: 0.7447 0.0000 0.4584  4 Se 2.59-2.67
In: 0.2553 0.5000 0.9584  4 Se 2.59-2.67
Se: 0.7190 0.0000 0.0257  7 K 3.23-3.46
Se: 0.2810 0.5000 0.5257  7 K 3.23-3.46
Se: 0.2061 0.0000 0.7460  6 K 3.19-3.30
Se: 0.7939 0.5000 0.2460  6 K 3.19-3.30
Se: 0.9853 0.0000 0.3629  1 In 2.61
Se: 0.0147 0.5000 0.8629  1 In 2.61
Se: 0.5045 0.0000 0.3658  1 In 2.59
Se: 0.4955 0.5000 0.8658  1 In 2.59
Se: 0.2624 0.6892 0.1066  1 In 2.67
Se: 0.7376 0.8108 0.6066  1 In 2.67
Se: 0.7376 0.1892 0.6066  1 In 2.67
Se: 0.2624 0.3108 0.1066  1 In 2.67

11.
This record from the Alexandria database describes a relaxed K3InSe crystal. The functional is PBE.

Summary:
Total magnetic moment (μB/cell): 1.74
ΔE to the lowest computed polymorph (meV per atom): 0
Formation energy (no corrections) (eV/atom): -0.401

a b c (Å): 6.2922 6.2922 6.2922
angles (deg): 90.00 90.00 90.00
Closest atoms and distances in Å follow each position.
Sites, in units of the cell vectors:
K: 0.0000 0.5000 0.0000  2 Se 3.15
K: 0.0000 0.0000 0.5000  2 Se 3.15
K: 0.5000 0.0000 0.0000  2 Se 3.15
Se: 0.0000 0.0000 0.0000  6 K 3.15
In: 0.5000 0.5000 0.5000  12 K 4.45

Question: What is the total magnetic moment in the second record?
Answer: 0.00 μB/cell